# 1
# PBE AcCdHg, relaxed
# Energy of formation from the pure elements in eV per formula unit: -0.1
# Total magnetic moment in μB/cell: 0.0
# Energy above the lowest structure with this stoichiometry in meV per atom: 273
# Crystal system: cubic
data_AcCdHg
_chemical_formula_sum 'Ac4 Cd4 Hg4'
_space_group_name_H-M_alt 'F -4 3 m'
_space_group_IT_number 216
_space_group_name_Hall 'F -4 2 3'
_cell_length_a 7.6008
_cell_length_b 7.6008
_cell_length_c 7.6008
_cell_angle_alpha 90.00
_cell_angle_beta 90.00
_cell_angle_gamma 90.00
loop_
_atom_site_label
_atom_site_type_symbol
_atom_site_fract_x
_atom_site_fract_y
_atom_site_fract_z
Ac1 Ac 0.0000 0.0000 0.0000
Cd1 Cd 0.2500 0.2500 0.7500
Hg1 Hg 0.2500 0.2500 0.2500

---

# 2
# PBE AcCdIn, relaxed
# Total magnetic moment in μB/cell: 0.0
# Energy above the lowest structure with this stoichiometry in meV per atom: 513
# Crystal system: cubic
data_AcCdIn
_chemical_formula_sum 'Ac4 Cd4 In4'
_space_group_name_H-M_alt 'F -4 3 m'
_space_group_IT_number 216
_space_group_name_Hall 'F -4 2 3'
_cell_length_a 7.6553
_cell_length_b 7.6553
_cell_length_c 7.6553
_cell_angle_alpha 90.00
_cell_angle_beta 90.00
_cell_angle_gamma 90.00
loop_
_atom_site_label
_atom_site_type_symbol
_atom_site_fract_x
_atom_site_fract_y
_atom_site_fract_z
Ac1 Ac 0.0000 0.0000 0.0000
Cd1 Cd 0.2500 0.2500 0.7500
In1 In 0.2500 0.2500 0.2500

---

# 3
# PBE AcCdIn, relaxed
# Total magnetic moment in μB/cell: 0.0
# Energy above the lowest structure with this stoichiometry in meV per atom: 128
# Crystal system: cubic
data_AcCdIn
_chemical_formula_sum 'Ac4 Cd4 In4'
_space_group_name_H-M_alt 'F -4 3 m'
_space_group_IT_number 216
_space_group_name_Hall 'F -4 2 3'
_cell_length_a 7.3242
_cell_length_b 7.3242
_cell_length_c 7.3242
_cell_angle_alpha 90.00
_cell_angle_beta 90.00
_cell_angle_gamma 90.00
loop_
_atom_site_label
_atom_site_type_symbol
_atom_site_fract_x
_atom_site_fract_y
_atom_site_fract_z
Ac1 Ac 0.0000 0.0000 0.0000
Cd1 Cd 0.2500 0.2500 0.2500
In1 In 0.0000 0.0000 0.5000

---

# 4
# PBE Ac2CdIn2, relaxed
# Total magnetic moment in μB/cell: 0.9
# Crystal system: monoclinic
data_Ac2CdIn2
_chemical_formula_sum 'Ac8 Cd4 In8'
_space_group_name_H-M_alt 'C 1 2/m 1'
_space_group_IT_number 12
_cell_length_a 12.0368
_cell_length_b 5.0916
_cell_length_c 12.0193
_cell_angle_alpha 90.00
_cell_angle_beta 117.91
_cell_angle_gamma 90.00
loop_
_space_group_symop_operation_xyz
'x,y,z'
'-x,-y,-z'
'-x,y,-z'
'x,-y,z'
'x+1/2,y+1/2,z'
'-x+1/2,-y+1/2,-z'
'-x+1/2,y+1/2,-z'
'x+1/2,-y+1/2,z'
loop_
_atom_site_label
_atom_site_type_symbol
_atom_site_fract_x
_atom_site_fract_y
_atom_site_fract_z
Ac1 Ac 0.0144 0.0000 0.3319
Ac2 Ac 0.1807 0.0000 0.0982
Cd1 Cd 0.2240 0.5000 0.3468
In1 In 0.0216 0.5000 0.8835
In2 In 0.1411 0.5000 0.5627

---

# 5
# PBE Ac2CdIr2, relaxed
# Energy of formation from the pure elements in eV per formula unit: -2.7
# Total magnetic moment in μB/cell: 0.0
# Crystal system: monoclinic
data_Ac2CdIr2
_chemical_formula_sum 'Ac8 Cd4 Ir8'
_space_group_name_H-M_alt 'C 1 2/c 1'
_space_group_IT_number 15
_cell_length_a 10.6588
_cell_length_b 5.9060
_cell_length_c 8.5657
_cell_angle_alpha 90.00
_cell_angle_beta 106.73
_cell_angle_gamma 90.00
loop_
_space_group_symop_operation_xyz
'x,y,z'
'-x,-y,-z'
'-x,y,-z+1/2'
'x,-y,z+1/2'
'x+1/2,y+1/2,z'
'-x+1/2,-y+1/2,-z'
'-x+1/2,y+1/2,-z+1/2'
'x+1/2,-y+1/2,z+1/2'
loop_
_atom_site_label
_atom_site_type_symbol
_atom_site_fract_x
_atom_site_fract_y
_atom_site_fract_z
Ac1 Ac 0.1450 0.1548 0.1465
Cd1 Cd 0.0000 0.3647 0.7500
Ir1 Ir 0.1448 0.3425 0.5180

---

# 6
# PBE AcLa3Cd2, relaxed
# Energy of formation from the pure elements in eV per formula unit: -1.4
# Total magnetic moment in μB/cell: 0.2
# Crystal system: tetragonal
data_AcLa3Cd2
_chemical_formula_sum 'Ac1 La3 Cd2'
_space_group_name_H-M_alt 'P 4/m m m'
_space_group_IT_number 123
_space_group_name_Hall '-P 4 2'
_cell_length_a 3.9029
_cell_length_b 3.9029
_cell_length_c 13.1440
_cell_angle_alpha 90.00
_cell_angle_beta 90.00
_cell_angle_gamma 90.00
loop_
_atom_site_label
_atom_site_type_symbol
_atom_site_fract_x
_atom_site_fract_y
_atom_site_fract_z
Ac1 Ac 0.0000 0.0000 0.0000
La1 La 0.5000 0.5000 0.2005
La2 La 0.5000 0.5000 0.5000
Cd1 Cd 0.0000 0.0000 0.3494

---

Number 1: uncorrected energy -0.0657 hartree per atom. Number 2: uncorrected energy -0.0921 hartree per atom. Number 3: uncorrected energy -0.1062 hartree per atom. Number 4: uncorrected energy -0.1234 hartree per atom. Number 5: uncorrected energy -0.2168 hartree per atom. Number 6: uncorrected energy -0.1350 hartree per atom.